This record from Alexandria describes Ac3PrDy2 after structural relaxation. The functional is PBE.

DOS(E_F) (states/eV/f.u.): 10.7
Calculated volume (Å³/cell): 466.08
Space-group type: No. 70
Total DFT energy (no corrections) (eV per atom): -4.3220
Total magnetic moment (μB/atom): 0.000

abc: 7.574 6.604 12.594
angles: 110.59 90.00 124.99
Atoms (fractional coordinates):
Ac (0.375, 0.000, 0.750)
Ac (0.625, 0.000, 0.250)
Ac (0.958, 0.666, 0.916)
Ac (0.292, 0.334, 0.584)
Ac (0.708, 0.666, 0.416)
Ac (0.042, 0.334, 0.084)
Pr (0.125, 0.000, 0.250)
Pr (0.875, 0.000, 0.750)
Dy (0.210, 0.669, 0.418)
Dy (0.459, 0.669, 0.918)
Dy (0.541, 0.331, 0.082)
Dy (0.790, 0.331, 0.582)



This record from Alexandria describes AcPr12Dy7 after structural relaxation. The functional is PBE.

DOS(E_F) (states/eV/f.u.): 27.7
Calculated volume (Å³/cell): 793.04
Space-group type: No. 204
Polymorph energy (0 for the lowest one) (eV/atom): 0.4162
Total magnetic moment (μB/atom): 0.000

abc: 10.100 10.100 10.100
angles: 109.47 109.47 109.47
Atoms (fractional coordinates):
Ac (0.000, 0.000, 0.000)
Pr (0.479, 0.710, 0.768)
Pr (0.942, 0.710, 0.232)
Pr (0.521, 0.290, 0.232)
Pr (0.058, 0.290, 0.768)
Pr (0.768, 0.058, 0.290)
Pr (0.768, 0.479, 0.710)
Pr (0.232, 0.942, 0.710)
Pr (0.232, 0.521, 0.290)
Pr (0.710, 0.768, 0.479)
Pr (0.290, 0.232, 0.521)
Pr (0.710, 0.232, 0.942)
Pr (0.290, 0.768, 0.058)
Dy (0.500, 0.500, 0.000)
Dy (0.000, 0.500, 0.500)
Dy (0.500, 0.000, 0.500)
Dy (0.500, 0.500, 0.500)
Dy (0.000, 0.000, 0.500)
Dy (0.500, 0.000, 0.000)
Dy (0.000, 0.500, 0.000)



This record from Alexandria describes AcPr7Dy2 after structural relaxation. The functional is PBE.

DOS(E_F) (states/eV/f.u.): 14.2
Calculated volume (Å³/cell): 374.30
Space-group type: No. 71
Polymorph energy (0 for the lowest one) (eV/atom): 0.0000
Total magnetic moment (μB/atom): 0.000

abc: 5.656 7.876 9.700
angles: 113.95 73.06 90.00
Atoms (fractional coordinates):
Ac (0.000, 0.000, 0.000)
Pr (0.842, 0.657, 0.315)
Pr (0.158, 0.343, 0.685)
Pr (0.632, 0.667, 0.736)
Pr (0.368, 0.333, 0.264)
Pr (0.368, 0.931, 0.264)
Pr (0.632, 0.069, 0.736)
Pr (0.500, 0.500, 0.000)
Dy (0.214, 0.786, 0.571)
Dy (0.786, 0.214, 0.429)